# ZrCoReSn

A geometry-optimized ZrCoReSn structure (PBE-GGA, the Open Quantum Materials Database).

## Properties
DFT total energy	-8.080	eV/atom
energy above the lowest structure with this stoichiometry	0.0000	eV per atom

POSCAR file:
```
ZrCoReSn
1.0
0.000 3.222 3.222
3.222 0.000 3.222
3.222 3.222 0.000
Co Re Sn Zr
1 1 1 1
Cartesian
4.833 4.833 4.833
1.611 1.611 1.611
0.000 0.000 0.000
3.222 3.222 3.222
```